[1]
# BaYb3 (PBE, optimized geometry)
# Energy above the most stable polymorph in this dataset (eV/atom): 0.002
# DOS(E_F) (states/eV per atom): 12.0189
# Total DFT energy (no corrections) (eV/atom): -1.66
# SG: No. 221
data_BaYb3
_symmetry_space_group_name_H-M 'P 1'
_symmetry_Int_Tables_number 1
_cell_length_a 5.5715
_cell_length_b 5.5715
_cell_length_c 5.5715
_cell_angle_alpha 90.00
_cell_angle_beta 90.00
_cell_angle_gamma 90.00
loop_
_symmetry_equiv_pos_as_xyz
'x,y,z'
loop_
_atom_site_label
_atom_site_fract_x
_atom_site_fract_y
_atom_site_fract_z
Yb1 0.0000 0.5000 0.5000
Yb2 0.5000 0.0000 0.5000
Yb3 0.5000 0.5000 0.0000
Ba1 0.0000 0.0000 0.0000

---

[2]
# Ba3Yb (PBE, optimized geometry)
# Energy above the most stable polymorph in this dataset (eV/atom): 0.000
# DOS(E_F) (states/eV per atom): 5.4165
# Total DFT energy (no corrections) (eV/atom): -1.80
# SG: No. 194
data_Ba3Yb
_symmetry_space_group_name_H-M 'P 1'
_symmetry_Int_Tables_number 1
_cell_length_a 8.5760
_cell_length_b 8.5760
_cell_length_c 7.0610
_cell_angle_alpha 90.00
_cell_angle_beta 90.00
_cell_angle_gamma 120.00
loop_
_symmetry_equiv_pos_as_xyz
'x,y,z'
loop_
_atom_site_label
_atom_site_fract_x
_atom_site_fract_y
_atom_site_fract_z
Ba1 0.1688 0.3375 0.2500
Ba2 0.6625 0.8312 0.2500
Ba3 0.1688 0.8312 0.2500
Ba4 0.8312 0.6625 0.7500
Ba5 0.3375 0.1688 0.7500
Ba6 0.8312 0.1688 0.7500
Yb1 0.3333 0.6667 0.7500
Yb2 0.6667 0.3333 0.2500

---

[3]
# Ba6Yb (PBE, optimized geometry)
# DOS(E_F) (states/eV per atom): 3.5182
# Total DFT energy (no corrections) (eV/atom): -0.98
# SG: No. 229
data_Ba6Yb
_symmetry_space_group_name_H-M 'P 1'
_symmetry_Int_Tables_number 1
_cell_length_a 8.2038
_cell_length_b 8.2038
_cell_length_c 8.2038
_cell_angle_alpha 109.47
_cell_angle_beta 109.47
_cell_angle_gamma 109.47
loop_
_symmetry_equiv_pos_as_xyz
'x,y,z'
loop_
_atom_site_label
_atom_site_fract_x
_atom_site_fract_y
_atom_site_fract_z
Ba1 0.2500 0.7500 0.5000
Ba2 0.5000 0.7500 0.2500
Ba3 0.2500 0.5000 0.7500
Ba4 0.7500 0.2500 0.5000
Ba5 0.5000 0.2500 0.7500
Ba6 0.7500 0.5000 0.2500
Yb1 0.0000 0.0000 0.0000

---

[4]
# Ba3Yb (PBE, optimized geometry)
# Energy above the most stable polymorph in this dataset (eV/atom): 0.007
# DOS(E_F) (states/eV per atom): 5.3557
# Total DFT energy (no corrections) (eV/atom): -1.79
# SG: No. 139
data_Ba3Yb
_symmetry_space_group_name_H-M 'P 1'
_symmetry_Int_Tables_number 1
_cell_length_a 7.5283
_cell_length_b 7.5283
_cell_length_c 7.5283
_cell_angle_alpha 132.66
_cell_angle_beta 132.66
_cell_angle_gamma 69.18
loop_
_symmetry_equiv_pos_as_xyz
'x,y,z'
loop_
_atom_site_label
_atom_site_fract_x
_atom_site_fract_y
_atom_site_fract_z
Yb1 0.0000 0.0000 0.0000
Ba1 0.7500 0.2500 0.5000
Ba2 0.2500 0.7500 0.5000
Ba3 0.5000 0.5000 0.0000

---

[5]
# Ba3Yb (PBE, optimized geometry)
# Energy above the most stable polymorph in this dataset (eV/atom): 0.012
# DOS(E_F) (states/eV per atom): 5.7842
# Total DFT energy (no corrections) (eV/atom): -1.79
# SG: No. 221
data_Ba3Yb
_symmetry_space_group_name_H-M 'P 1'
_symmetry_Int_Tables_number 1
_cell_length_a 6.1148
_cell_length_b 6.1148
_cell_length_c 6.1148
_cell_angle_alpha 90.00
_cell_angle_beta 90.00
_cell_angle_gamma 90.00
loop_
_symmetry_equiv_pos_as_xyz
'x,y,z'
loop_
_atom_site_label
_atom_site_fract_x
_atom_site_fract_y
_atom_site_fract_z
Yb1 0.0000 0.0000 0.0000
Ba1 0.0000 0.5000 0.5000
Ba2 0.5000 0.0000 0.5000
Ba3 0.5000 0.5000 0.0000

---

[6]
# Ba3Zn2 (PBE, optimized geometry)
# Energy above the most stable polymorph in this dataset (eV/atom): 0.000
# DOS(E_F) (states/eV per atom): 1.0752
# Total DFT energy (no corrections) (eV/atom): -1.79
# SG: No. 123
data_Ba3Zn2
_symmetry_space_group_name_H-M 'P 1'
_symmetry_Int_Tables_number 1
_cell_length_a 4.1500
_cell_length_b 4.1500
_cell_length_c 23.2538
_cell_angle_alpha 90.00
_cell_angle_beta 90.00
_cell_angle_gamma 90.00
loop_
_symmetry_equiv_pos_as_xyz
'x,y,z'
loop_
_atom_site_label
_atom_site_fract_x
_atom_site_fract_y
_atom_site_fract_z
Ba1 0.0000 0.0000 0.8483
Ba2 0.0000 0.0000 0.1517
Ba3 0.0000 0.0000 0.3239
Ba4 0.0000 0.0000 0.5000
Ba5 0.0000 0.0000 0.6761
Ba6 0.5000 0.5000 0.0000
Zn1 0.5000 0.5000 0.2344
Zn2 0.5000 0.5000 0.4124
Zn3 0.5000 0.5000 0.5876
Zn4 0.5000 0.5000 0.7656

---

no.,energy of formation (meV per atom)
1,-32
2,27
3,884
4,34
5,39
6,-128